No. 1
The following is a GGA-PBE calculation of TmRePO after structural relaxation, from OQMD.

Lattice parameters (Å, degrees): 4.3005 4.3005 6.4056 90.00 90.00 90.00
With the nearest neighbours (Å) after each atom.
Space group P4/nmm (No. 129, origin choice 2)
Symmetry-distinct sites (fractional):
Tm  0.2500  0.7500  0.0000 (multiplicity 2)  4 P 2.75, 4 Tm 3.04
Re  0.2500  0.2500  0.3673 (multiplicity 2)  4 O 2.31, 1 P 2.34
P  0.2500  0.2500  0.7325 (multiplicity 2)  1 Re 2.34, 4 O 2.62
O  0.2500  0.7500  0.5000 (multiplicity 2)  4 Re 2.31

=====

No. 2
The following is a GGA-PBE calculation of YRePO after structural relaxation, from OQMD.

Lattice parameters (Å, degrees): 3.9246 3.9246 8.2920 90.00 90.00 90.00
With the nearest neighbours (Å) after each atom.
Space group P4/nmm (No. 129, origin choice 2)
Symmetry-distinct sites (fractional):
Y  0.2500  0.2500  0.1328 (multiplicity 2)  4 O 2.25
Re  0.2500  0.7500  0.5000 (multiplicity 2)  4 P 2.41
P  0.2500  0.2500  0.6690 (multiplicity 2)  4 Re 2.41
O  0.2500  0.7500  0.0000 (multiplicity 2)  4 Y 2.25

=====

No. 3
The following is a GGA-PBE calculation of YRePO after structural relaxation, from OQMD.

Lattice parameters (Å, degrees): 4.0488 6.0867 5.5335 90.00 90.00 90.00
With the nearest neighbours (Å) after each atom.
Space group Pmc2_1 (No. 26)
Symmetry-distinct sites (fractional):
Y  0.0000  0.1617  0.0000 (multiplicity 2)  2 O 2.13
Re  0.5000  0.4406  0.7247 (multiplicity 2)  2 O 2.06-2.08
P  0.0000  0.3180  0.5065 (multiplicity 2)  2 Re 2.47
O  0.5000  0.2629  0.0455 (multiplicity 2)  2 Re 2.06-2.08, 2 Y 2.13

=====

No. 4
The following is a GGA-PBE calculation of YRePO after structural relaxation, from OQMD.

Lattice parameters (Å, degrees): 4.3610 4.4155 6.2606 90.00 90.00 90.00
With the nearest neighbours (Å) after each atom.
Space group Pmc2_1 (No. 26)
Symmetry-distinct sites (fractional):
Y  0.0000  0.1860  0.0000 (multiplicity 2)  3 O 2.27-2.53
Re  0.5000  0.3504  0.3501 (multiplicity 2)  2 O 2.18, 3 P 2.36-2.41
P  0.5000  0.1522  0.6996 (multiplicity 2)  3 Re 2.36-2.41
O  0.0000  0.3422  0.3450 (multiplicity 2)  2 Re 2.18, 2 Y 2.27-2.30

=====

No. 5
The following is a GGA-PBE calculation of YRePO after structural relaxation, from OQMD.

Lattice parameters (Å, degrees): 4.3087 4.3087 6.5351 90.00 90.00 90.00
With the nearest neighbours (Å) after each atom.
Space group P4/nmm (No. 129, origin choice 2)
Symmetry-distinct sites (fractional):
Y  0.2500  0.7500  0.0000 (multiplicity 2)  4 P 2.79, 4 Y 3.05
Re  0.2500  0.2500  0.3729 (multiplicity 2)  4 O 2.31, 1 P 2.33
P  0.2500  0.2500  0.7294 (multiplicity 2)  1 Re 2.33
O  0.2500  0.7500  0.5000 (multiplicity 2)  4 Re 2.31

=====

No. 6
The following is a GGA-PBE calculation of ZnRePO after structural relaxation, from OQMD.

Lattice parameters (Å, degrees): 3.9734 4.7462 5.6483 90.00 90.00 90.00
With the nearest neighbours (Å) after each atom.
Space group Pmc2_1 (No. 26)
Symmetry-distinct sites (fractional):
Zn  0.0000  0.2101  0.0000 (multiplicity 2)  2 O 2.15-2.19
Re  0.5000  0.3662  0.6320 (multiplicity 2)  2 O 1.99
P  0.5000  0.1365  0.2551 (multiplicity 2)  3 Re 2.39-2.49, 2 Zn 2.48
O  0.0000  0.3607  0.6406 (multiplicity 2)  2 Re 1.99, 2 Zn 2.15-2.19

=====

No. 7
The following is a GGA-PBE calculation of ZnRePO after structural relaxation, from OQMD.

Lattice parameters (Å, degrees): 2.9882 6.4293 5.7881 90.00 90.00 90.00
With the nearest neighbours (Å) after each atom.
Space group Pmc2_1 (No. 26)
Symmetry-distinct sites (fractional):
Zn  0.0000  0.0580  0.0000 (multiplicity 2)  2 O 1.98
Re  0.5000  0.5000  0.2420 (multiplicity 2)  2 O 2.12
P  0.0000  0.3040  0.4929 (multiplicity 2)  1 Zn 2.33, 4 Re 2.43
O  0.5000  0.2595  0.9922 (multiplicity 2)  2 Zn 1.98, 2 Re 2.12

=====

No. 8
The following is a GGA-PBE calculation of ZnRePO after structural relaxation, from OQMD.

Lattice parameters (Å, degrees): 3.8308 3.8308 8.8053 90.00 90.00 90.00
With the nearest neighbours (Å) after each atom.
Space group P4/nmm (No. 129, origin choice 2)
Symmetry-distinct sites (fractional):
Zn  0.2500  0.2500  0.0537 (multiplicity 2)  4 O 1.97
Re  0.2500  0.7500  0.5000 (multiplicity 2)  4 P 2.46, 4 Re 2.71
P  0.2500  0.2500  0.6750 (multiplicity 2)  4 Re 2.46
O  0.2500  0.7500  0.0000 (multiplicity 2)  4 Zn 1.97

=====

No. 9
The following is a GGA-PBE calculation of ZnRePO after structural relaxation, from OQMD.

Lattice parameters (Å, degrees): 3.2540 3.2540 10.4319 90.00 90.00 90.00
With the nearest neighbours (Å) after each atom.
Space group P4/nmm (No. 129, origin choice 2)
Symmetry-distinct sites (fractional):
Zn  0.2500  0.7500  0.0000 (multiplicity 2)  4 Zn 2.30
Re  0.2500  0.2500  0.3712 (multiplicity 2)  4 O 2.11
P  0.2500  0.2500  0.7477 (multiplicity 2)  4 Re 2.61
O  0.2500  0.7500  0.5000 (multiplicity 2)  4 Re 2.11, 4 O 2.30

=====

No. 10
The following is a GGA-PBE calculation of ZrRePO after structural relaxation, from OQMD.

Lattice parameters (Å, degrees): 3.9391 6.1995 5.2761 90.00 90.00 90.00
With the nearest neighbours (Å) after each atom.
Space group Pmc2_1 (No. 26)
Symmetry-distinct sites (fractional):
Zr  0.0000  0.1696  0.0000 (multiplicity 2)  2 O 2.08
Re  0.5000  0.4209  0.6775 (multiplicity 2)  2 O 2.04-2.14
P  0.0000  0.2522  0.5148 (multiplicity 2)  2 Re 2.39, 2 Zr 2.61-2.62
O  0.5000  0.2702  0.0433 (multiplicity 2)  2 Re 2.04-2.14, 2 Zr 2.08

=====

No. 11
The following is a GGA-PBE calculation of ZrRePO after structural relaxation, from OQMD.

Lattice parameters (Å, degrees): 4.1503 4.1503 6.5002 90.00 90.00 90.00
With the nearest neighbours (Å) after each atom.
Space group P4/nmm (No. 129, origin choice 2)
Symmetry-distinct sites (fractional):
Zr  0.2500  0.7500  0.0000 (multiplicity 2)  4 P 2.69, 4 Zr 2.93
Re  0.2500  0.2500  0.3676 (multiplicity 2)  4 O 2.25, 1 P 2.41
P  0.2500  0.2500  0.7378 (multiplicity 2)  1 Re 2.41, 4 O 2.59, 4 Zr 2.69
O  0.2500  0.7500  0.5000 (multiplicity 2)  4 Re 2.25

=====

No. 12
The following is a GGA-PBE calculation of ZrRePO after structural relaxation, from OQMD.

Lattice parameters (Å, degrees): 4.0552 4.0552 6.8507 90.00 90.00 90.00
With the nearest neighbours (Å) after each atom.
Space group P4/nmm (No. 129, origin choice 2)
Symmetry-distinct sites (fractional):
Zr  0.2500  0.2500  0.1325 (multiplicity 2)  4 O 2.22
Re  0.2500  0.7500  0.5000 (multiplicity 2)  4 P 2.38
P  0.2500  0.2500  0.6809 (multiplicity 2)  4 Re 2.38
O  0.2500  0.7500  0.0000 (multiplicity 2)  4 Zr 2.22

=====

No. 13
The following is a GGA-PBE calculation of Sm4SbPO after structural relaxation, from OQMD.

Lattice parameters (Å, degrees): 4.4562 4.4562 17.2809 90.00 90.00 90.00
With the nearest neighbours (Å) after each atom.
Space group I4mm (No. 107)
Symmetry-distinct sites (fractional):
Sm  0.0000  0.0000  0.0000 (multiplicity 2)  1 P 2.93
Sm  0.0000  0.0000  0.3697 (multiplicity 2)  1 O 2.31
Sm  0.0000  0.5000  0.1988 (multiplicity 4)  2 O 2.32
Sb  0.0000  0.0000  0.5583 (multiplicity 2)  9 Sm 3.26-3.31
P  0.0000  0.0000  0.8304 (multiplicity 2)  9 Sm 2.93-3.22
O  0.0000  0.0000  0.2362 (multiplicity 2)  5 Sm 2.31-2.32

=====

Number 1: mass density 11.3 g/cm³, raw total energy -6.880 eV/atom, V 14.8 A^3/atom. Number 2: mass density 8.4 g/cm³, raw total energy -9.064 eV/atom, V 16.0 A^3/atom. Number 3: mass density 7.8 g/cm³, raw total energy -8.372 eV/atom, V 17.0 A^3/atom. Number 4: mass density 8.9 g/cm³, raw total energy -8.606 eV/atom, V 15.1 A^3/atom. Number 5: mass density 8.8 g/cm³, raw total energy -7.328 eV/atom, V 15.2 A^3/atom. Number 6: mass density 9.3 g/cm³, raw total energy -6.311 eV/atom, V 13.3 A^3/atom. Number 7: mass density 8.9 g/cm³, raw total energy -6.533 eV/atom, V 13.9 A^3/atom. Number 8: mass density 7.7 g/cm³, raw total energy -6.381 eV/atom, V 16.2 A^3/atom. Number 9: mass density 9.0 g/cm³, raw total energy -5.975 eV/atom, V 13.8 A^3/atom. Number 10: mass density 8.4 g/cm³, raw total energy -8.796 eV/atom, V 16.1 A^3/atom. Number 11: mass density 9.6 g/cm³, raw total energy -7.976 eV/atom, V 14.0 A^3/atom. Number 12: mass density 9.6 g/cm³, raw total energy -9.223 eV/atom, V 14.1 A^3/atom. Number 13: mass density 7.5 g/cm³, raw total energy -6.244 eV/atom, V 24.5 A^3/atom.